(1)
Entry from Alexandria: Sm4GeTe2Se after structural relaxation (PBE).

```
Sm4GeTe2Se
1.0
-3.6496 -0.3612 2.2514
2.8999 -6.0102 3.7366
3.5195 2.3954 6.0896
Sm Ge Te Se
4 1 2 1
Direct
0.0000 0.7215 0.7523
0.0000 0.2785 0.2477
0.5000 0.7221 0.2652
0.5000 0.2779 0.7348
0.0000 0.5000 0.5000
0.0000 0.0000 0.0000
0.5000 0.0000 0.5000
0.5000 0.5000 0.0000
```

Results
Uncorrected formation energy, kJ/mol of formula units: -1123.9
Symmetry: P2/m, No. 10

(2)
Entry from Alexandria: Sm4GeTeSe2 after structural relaxation (PBE).

```
Sm4GeTeSe2
1.0
4.2582 0.0000 0.0000
0.0000 7.3294 -0.1232
0.0000 2.6049 7.0330
Sm Ge Te Se
4 1 1 2
Direct
0.0000 0.7578 0.7267
0.0000 0.2422 0.2733
0.5000 0.7457 0.2667
0.5000 0.2543 0.7333
0.0000 0.5000 0.5000
0.5000 0.5000 0.0000
0.0000 0.0000 0.0000
0.5000 0.0000 0.5000
```

Results
Uncorrected formation energy, kJ/mol of formula units: -1182.7
Symmetry: P2/m, No. 10